Model A:
VASP calculation (PBE) on Sc2BeBr after structural relaxation.

The structure belongs to space group Pmmm (No. 47); the cell edges are 3.248, 3.337 and 7.645 Å and the angles 90.00°, 90.00° and 90.00°. The inequivalent atoms are Sc at (0.000, 0.000, 0.196), Be at (0.500, 0.500, 0.000) and Br at (0.500, 0.000, 0.500).

As for the crystal system: orthorhombic.

Model B:
VASP calculation (PBE) on Sc2BeBr after structural relaxation.

The structure belongs to space group Cm (No. 8); the cell edges are 10.334, 3.351 and 4.386 Å and the angles 90.00°, 91.94° and 90.00°. The inequivalent atoms are Sc at (0.000, 0.000, 0.000), Sc at (0.223, 0.500, 0.520), Be at (0.477, 0.000, 0.506) and Br at (0.267, 0.000, 0.025).

As for the crystal system: monoclinic.

Model C:
VASP calculation (PBE) on Sc2BeBr after structural relaxation.

The structure belongs to space group Imm2 (No. 44); the cell edges are 3.330, 3.527 and 14.271 Å and the angles 90.00°, 90.00° and 90.00°. The inequivalent atoms are Sc at (0.000, 0.000, 0.000), Sc at (0.000, 0.500, 0.294), Be at (0.000, 0.000, 0.427) and Br at (0.000, 0.500, 0.677).

As for the crystal system: orthorhombic.

Model D:
VASP calculation (PBE) on Sc2BeBr after structural relaxation.

The structure belongs to space group I-42d (No. 122); the cell edges are 5.925, 5.925 and 12.029 Å and the angles 90.00°, 90.00° and 90.00°. The inequivalent atoms are Sc at (0.200, 0.250, 0.125), Be at (0.000, 0.000, 0.000) and Br at (0.000, 0.000, 0.500).

As for the crystal system: tetragonal.

Stability, lowest: model D

Model A:
VASP calculation (PBE) on ScBe3Br after structural relaxation.

The structure belongs to space group Pm-3m (No. 221); the cell edges are 4.445, 4.445 and 4.445 Å and the angles 90.00°, 90.00° and 90.00°. The inequivalent atoms are Sc at (0.000, 0.000, 0.000), Be at (0.000, 0.500, 0.500) and Br at (0.500, 0.500, 0.500).

As for the crystal system: cubic.

Model B:
VASP calculation (PBE) on ScBe3Br after structural relaxation.

The structure belongs to space group Pm-3m (No. 221); the cell edges are 5.182, 5.182 and 5.182 Å and the angles 90.00°, 90.00° and 90.00°. The inequivalent atoms are Sc at (0.000, 0.000, 0.000), Be at (0.000, 0.000, 0.500) and Br at (0.500, 0.500, 0.500).

As for the crystal system: cubic.

Stability, lowest: model B